No. 1
Computed, not measured: crystalline Tl3HgRh at its relaxed geometry at the GGA-PBE level of DFT.

Cell: 5.340 8.123 6.915 Å, 90.00 108.35 89.99°
Sites, in units of the cell vectors:
Tl 0.395 0.347 0.472
Rh 0.808 0.348 0.856
Hg 0.900 0.097 0.623
Tl 0.407 0.847 0.773
Tl 0.901 0.598 0.123
Hg 0.901 0.597 0.622
Tl 0.455 0.848 0.294
Tl 0.347 0.348 0.950
Rh 0.993 0.848 0.390
Tl 0.901 0.098 0.123

## Properties
Formation enthalpy at 0 K = 25 meV per atom
Distance to the lowest polymorph of the same formula = 47.5 meV per atom
Crystal system = monoclinic
SG = No. 4

***

No. 2
Computed, not measured: crystalline CaPm6Nd2Ho3 at its relaxed geometry at the GGA-PBE level of DFT.

Cell: 6.307 6.307 12.005 Å, 94.99 94.99 120.01°
Sites, in units of the cell vectors:
Pm 0.252 0.252 0.743
Nd 0.333 0.667 0.000
Ho 0.166 0.834 0.500
Pm 0.748 0.748 0.257
Pm 0.576 0.914 0.744
Pm 0.086 0.424 0.256
Ca 0.000 0.000 0.000
Ho 0.500 0.500 0.500
Ho 0.834 0.166 0.500
Pm 0.424 0.086 0.256
Nd 0.667 0.333 0.000
Pm 0.914 0.576 0.744

## Properties
Formation enthalpy at 0 K = 30 meV per atom
Crystal system = monoclinic
SG = No. 12

***

No. 3
Computed, not measured: crystalline Ac6Pr2Nd3 at its relaxed geometry at the GGA-PBE level of DFT.

Cell: 6.699 6.706 12.272 Å, 84.75 79.43 60.03°
Sites, in units of the cell vectors:
Ac 0.750 0.000 0.747
Ac 0.085 0.332 0.747
Pr 0.166 0.667 0.500
Ac 0.915 0.668 0.253
Ac 0.418 0.668 0.747
Ac 0.582 0.332 0.253
Pr 0.834 0.333 0.500
Nd 0.334 0.332 0.000
Nd 0.666 0.668 0.000
Ac 0.250 0.000 0.253
Nd 0.000 0.000 0.000

## Properties
Formation enthalpy at 0 K = 173 meV per atom
Crystal system = monoclinic
SG = No. 12

***

No. 4
Computed, not measured: crystalline Cs2InGeTe4 at its relaxed geometry at the GGA-PBE level of DFT.

Cell: 6.951 8.620 13.789 Å, 84.17 75.40 66.22°
Sites, in units of the cell vectors:
Te 0.533 0.303 0.616
In 0.750 0.500 0.500
Te 0.165 0.303 0.384
Te 0.585 0.197 0.116
Ge 0.500 0.000 0.000
Ge 0.250 0.500 0.500
Te 0.298 0.803 0.116
Cs 0.183 0.000 0.633
Cs 0.817 0.000 0.367
Cs 0.933 0.500 0.133
In 0.000 0.000 0.000
Cs 0.567 0.500 0.867
Te 0.217 0.197 0.884
Te 0.452 0.697 0.384
Te 0.851 0.697 0.616
Te 0.899 0.803 0.884

## Properties
Crystal system = orthorhombic
SG = No. 70

***

No. 5
Computed, not measured: crystalline Ba2Sr4O at its relaxed geometry at the GGA-PBE level of DFT.

Cell: 5.326 5.326 12.203 Å, 77.40 77.40 90.00°
Sites, in units of the cell vectors:
O 0.000 0.000 0.000
Sr 0.000 0.500 0.000
Ba 0.310 0.310 0.380
Sr 0.886 0.886 0.228
Ba 0.690 0.690 0.620
Sr 0.114 0.114 0.772
Sr 0.500 0.000 0.000

## Properties
Crystal system = tetragonal
SG = No. 139

***

No. 6
Computed, not measured: crystalline HfZr2Pb at its relaxed geometry at the GGA-PBE level of DFT.

Cell: 4.482 4.507 4.507 Å, 90.00 90.00 90.00°
Sites, in units of the cell vectors:
Pb 0.500 0.000 0.000
Zr 0.000 0.500 0.000
Hf 0.500 0.500 0.500
Zr 0.000 0.000 0.500

## Properties
Formation enthalpy at 0 K = -106 meV per atom
Distance to the lowest polymorph of the same formula = 0.0 meV per atom
Crystal system = tetragonal
SG = No. 123

***

No. 7
Computed, not measured: crystalline Te2W2Au at its relaxed geometry at the GGA-PBE level of DFT.

Cell: 3.781 3.781 8.616 Å, 77.32 77.32 90.00°
Sites, in units of the cell vectors:
Te 0.378 0.378 0.243
W 0.250 0.750 0.500
Au 0.000 0.000 0.000
Te 0.622 0.622 0.757
W 0.750 0.250 0.500

## Properties
Distance to the lowest polymorph of the same formula = 0.0 meV per atom
Crystal system = tetragonal
SG = No. 139

***

No. 8
Computed, not measured: crystalline Ag2PtPb2 at its relaxed geometry at the GGA-PBE level of DFT.

Cell: 7.195 7.195 4.394 Å, 90.00 90.00 90.00°
Sites, in units of the cell vectors:
Pb 0.825 0.325 0.500
Ag 0.364 0.864 0.000
Ag 0.636 0.136 0.000
Pt 0.000 0.000 0.000
Pb 0.325 0.175 0.500
Ag 0.864 0.636 0.000
Pb 0.175 0.675 0.500
Ag 0.136 0.364 0.000
Pb 0.675 0.825 0.500
Pt 0.500 0.500 0.000

## Properties
Formation enthalpy at 0 K = 157 meV per atom
Distance to the lowest polymorph of the same formula = 0.0 meV per atom
Crystal system = tetragonal
SG = No. 127

***

| no. | total magnetic moment (μB/f.u.) | total energy (eV per atom) |
| --- | --- | --- |
| 1 | 0.0 | -2.93 |
| 2 | 0.0 | -4.45 |
| 3 | 0.0 | -4.24 |
| 4 | 0.0 | -3.29 |
| 5 | 0.0 | -2.84 |
| 6 | 0.0 | -7.80 |
| 7 | 0.0 | -6.68 |
| 8 | 0.0 | -3.67 |